(1)
CeAl4Pd: single point on PBEsol structure, meta-GGA SCAN.

energy of formation from the pure elements	-689.9	meV per atom

Cell lengths 4.213, 15.746, 6.623 Å; angles 90.00, 90.00, 90.00 degrees
Space group Cmcm (No. 63)
Inequivalent atoms, fractional coordinates:
Ce1 0.000 0.114 0.250
Al1 0.000 0.071 0.750
Al2 0.000 0.317 0.050
Al3 0.000 0.500 0.000
Pd1 0.000 0.224 0.750

***

(2)
CeAl2Pd5: single point on PBEsol structure, meta-GGA SCAN.

energy of formation from the pure elements	-962.0	meV per atom

Cell lengths 4.132, 4.132, 14.664 Å; angles 90.00, 90.00, 90.00 degrees
Space group I4/mmm (No. 139)
Inequivalent atoms, fractional coordinates:
Ce1 0.000 0.000 0.000
Al1 0.000 0.000 0.253
Pd1 0.000 0.000 0.500
Pd2 0.000 0.500 0.144

***

(3)
Ce2Al11Pd3: single point on PBEsol structure, meta-GGA SCAN.

energy of formation from the pure elements	-643.4	meV per atom

Cell lengths 4.231, 4.231, 16.539 Å; angles 90.00, 90.00, 90.00 degrees
Space group P4mm (No. 99)
Inequivalent atoms, fractional coordinates:
Ce1 0.000 0.000 0.000
Ce2 0.000 0.000 0.493
Al1 0.000 0.500 0.158
Al2 0.000 0.500 0.328
Al3 0.000 0.500 0.664
Al4 0.000 0.500 0.837
Al5 0.500 0.500 0.062
Al6 0.500 0.500 0.422
Al7 0.500 0.500 0.569
Pd1 0.000 0.000 0.243
Pd2 0.000 0.000 0.747
Pd3 0.500 0.500 0.919